(1)
The following is a DFT calculation (PBE-GGA) of crystalline CsRb7Se4 at its relaxed geometry.

The structure belongs to space group C2/m (No. 12); the cell edges are 17.955, 6.150 and 12.860 Å and the angles 90.00°, 131.17° and 90.00°. Symmetry generates all atoms from Cs at (0.000, 0.000, 0.000), Rb at (0.000, 0.500, 0.000), Rb at (0.111, 0.000, 0.368), Rb at (0.144, 0.500, 0.602), Rb at (0.198, 0.000, 0.874), Se at (0.064, 0.500, 0.791) and Se at (0.223, 0.500, 0.298).

For the final energy, the calculation gives -2.631 eV/atom. For the formation energy without anion corrections, the calculation gives -0.8344 eV per atom.

(2)
The following is a DFT calculation (PBE-GGA) of crystalline Cs4Rb2Se at its relaxed geometry.

The structure belongs to space group I4/mmm (No. 139); the cell edges are 7.058, 7.058 and 26.057 Å and the angles 90.00°, 90.00° and 90.00°. Symmetry generates all atoms from Cs at (0.000, 0.000, 0.131), Cs at (0.000, 0.500, 0.000), Rb at (0.000, 0.000, 0.316) and Se at (0.000, 0.000, 0.000).

For the final energy, the calculation gives -1.671 eV/atom. For the formation energy without anion corrections, the calculation gives -0.4087 eV per atom. Its density of states at the Fermi level is 3.4 states/eV/f.u.

(3)
The following is a DFT calculation (PBE-GGA) of crystalline CsRbSe2 at its relaxed geometry.

The structure belongs to space group Fm-3m (No. 225); the cell edges are 8.517, 8.517 and 8.517 Å and the angles 90.00°, 90.00° and 90.00°. Symmetry generates all atoms from Cs at (0.000, 0.000, 0.000), Rb at (0.000, 0.000, 0.500) and Se at (0.250, 0.250, 0.250).

For the final energy, the calculation gives -2.757 eV/atom. For the formation energy without anion corrections, the calculation gives -0.5598 eV per atom. Its density of states at the Fermi level is 3.2 states/eV/f.u.

(4)
The following is a DFT calculation (PBE-GGA) of crystalline Cs4Rb3Se at its relaxed geometry.

The structure belongs to space group Pmmn (No. 59, origin choice 2); the cell edges are 11.211, 13.821 and 9.830 Å and the angles 90.00°, 90.00° and 90.00°. Symmetry generates all atoms from Cs at (0.051, 0.250, 0.230), Cs at (0.250, 0.576, 0.487), Rb at (0.250, 0.250, 0.740), Rb at (0.250, 0.572, 0.982) and Se at (0.250, 0.750, 0.745).

For the final energy, the calculation gives -1.573 eV/atom. For the formation energy without anion corrections, the calculation gives -0.3482 eV per atom. Its density of states at the Fermi level is 5.8 states/eV/f.u.

(5)
The following is a DFT calculation (PBE-GGA) of crystalline Cs6Rb2Se at its relaxed geometry.

The structure belongs to space group R3m (No. 160, hexagonal axes); the cell edges are 10.2848, 10.2848 and 27.1626 Å and the angles 90.00°, 90.00° and 120.00°. Symmetry generates all atoms from Cs at (0.0230, 0.5115, 0.0000), Cs at (0.0270, 0.5135, 0.8371), Rb at (0.0000, 0.0000, 0.8211), Rb at (0.0000, 0.0000, 0.9991) and Se at (0.0000, 0.0000, 0.2529).

For the final energy, the calculation gives -1.486 eV/atom. For the formation energy without anion corrections, the calculation gives -0.3151 eV per atom. Its density of states at the Fermi level is 6.5 states/eV/f.u.

(6)
The following is a DFT calculation (PBE-GGA) of crystalline CsRbSe3 at its relaxed geometry.

The structure belongs to space group Cc (No. 9); the cell edges are 11.183, 7.843 and 9.509 Å and the angles 90.00°, 111.40° and 90.00°. Symmetry generates all atoms from Cs at (0.000, 0.000, 0.000), Rb at (0.086, 0.499, 0.288), Se at (0.292, 0.000, 0.322), Se at (0.296, 0.248, 0.174) and Se at (0.296, 0.248, 0.674).

For the final energy, the calculation gives -3.255 eV/atom. For the formation energy without anion corrections, the calculation gives -0.8001 eV per atom.

(7)
The following is a DFT calculation (PBE-GGA) of crystalline Cs7Rb12Se at its relaxed geometry.

The structure belongs to space group R-3m (No. 166, hexagonal axes); the cell edges are 26.6564, 26.6564 and 8.9261 Å and the angles 90.00°, 90.00° and 120.00°. Symmetry generates all atoms from Cs at (0.0000, 0.0000, 0.0000), Cs at (0.0715, 0.1431, 0.3402), Rb at (0.0000, 0.4086, 0.0000), Rb at (0.0947, 0.5474, 0.5248) and Se at (0.0000, 0.0000, 0.5000).

For the final energy, the calculation gives -1.155 eV/atom. For the formation energy without anion corrections, the calculation gives -0.1017 eV per atom. Its density of states at the Fermi level is 16.0 states/eV/f.u.

(8)
The following is a DFT calculation (PBE-GGA) of crystalline CsRbSe2 at its relaxed geometry.

The structure belongs to space group Pnma (No. 62); the cell edges are 12.611, 7.432 and 7.012 Å and the angles 90.00°, 90.00° and 90.00°. Symmetry generates all atoms from Cs at (0.115, 0.250, 0.217), Rb at (0.127, 0.750, 0.346) and Se at (0.126, 0.086, 0.725).

For the final energy, the calculation gives -3.094 eV/atom. For the formation energy without anion corrections, the calculation gives -0.8961 eV per atom.